A plane-wave DFT calculation with PBE+U was carried out for an optimized crystal structure of KHfMoO2.

POSCAR file:
```
KHfMoO2
1.0
4.5084 0.0000 0.0000
0.0000 4.9409 0.0000
0.0000 0.0000 4.5084
Mo Hf K O
1 1 1 2
Direct
0.0000 0.5000 0.0000
0.5000 0.5000 0.5000
0.0000 0.0000 0.0000
0.0000 0.0000 0.5000
0.5000 0.0000 0.0000
```

Total moment = 4.22 μB/cell
Total energy = -4.33 eV/atom
Symmetry = No. 123
N(E_F) = 0.5834 states/eV per atom